# Sc3VGa (PBE, optimized geometry)
# SG = Pm-3m (221)
# calculated volume = 26.1 Å³/atom
# ΔE_f = 0.54 eV per atom
# E above lowest polymorph = 26.5 kJ/mol of formula units
# uncorrected energy = -5.693 eV per atom
data_Sc3VGa
_chemical_formula_sum 'Sc3 V1 Ga1'
_cell_length_a 5.0710
_cell_length_b 5.0710
_cell_length_c 5.0710
_cell_angle_alpha 90.00
_cell_angle_beta 90.00
_cell_angle_gamma 90.00
_space_group_name_H-M_alt 'P 1'
_space_group_IT_number 1
loop_
_space_group_symop_operation_xyz
'x,y,z'
loop_
_atom_site_label
_atom_site_type_symbol
_atom_site_fract_x
_atom_site_fract_y
_atom_site_fract_z
Sc1 Sc 0.5000 0.0000 0.0000
Sc2 Sc 0.0000 0.0000 0.5000
V1 V 0.5000 0.5000 0.5000
Sc3 Sc 0.0000 0.5000 0.0000
Ga1 Ga 0.0000 0.0000 0.0000

***

# SiHgOs2 (PBE, optimized geometry)
# SG = I-4m2 (119)
# calculated volume = 15.5 Å³/atom
# uncorrected formation energy = 0.8258 eV per atom
# E above lowest polymorph = 218.7 kJ/mol of formula units
# uncorrected energy = -6.220 eV per atom
data_SiHgOs2
_chemical_formula_sum 'Si1 Hg1 Os2'
_cell_length_a 4.9166
_cell_length_b 4.9166
_cell_length_c 4.9166
_cell_angle_alpha 133.32
_cell_angle_beta 133.32
_cell_angle_gamma 68.15
_space_group_name_H-M_alt 'P 1'
_space_group_IT_number 1
loop_
_space_group_symop_operation_xyz
'x,y,z'
loop_
_atom_site_label
_atom_site_type_symbol
_atom_site_fract_x
_atom_site_fract_y
_atom_site_fract_z
Si1 Si 0.5000 0.5000 0.0000
Hg1 Hg 0.7500 0.2500 0.5000
Os1 Os 0.2500 0.7500 0.5000
Os2 Os 0.0000 0.0000 0.0000

***

# AgSb2Br (PBE, optimized geometry)
# SG = C2/m (12)
# calculated volume = 30.7 Å³/atom
# uncorrected formation energy = -0.0207 eV per atom
# E above lowest polymorph = 40.4 kJ/mol of formula units
# uncorrected energy = -3.213 eV per atom
data_AgSb2Br
_chemical_formula_sum 'Ag1 Sb2 Br1'
_cell_length_a 4.4442
_cell_length_b 4.4442
_cell_length_c 7.1178
_cell_angle_alpha 80.91
_cell_angle_beta 80.91
_cell_angle_gamma 62.73
_space_group_name_H-M_alt 'P 1'
_space_group_IT_number 1
loop_
_space_group_symop_operation_xyz
'x,y,z'
loop_
_atom_site_label
_atom_site_type_symbol
_atom_site_fract_x
_atom_site_fract_y
_atom_site_fract_z
Sb1 Sb 0.4231 0.4231 0.5890
Sb2 Sb 0.0769 0.0769 0.9110
Ag1 Ag 0.7500 0.7500 0.7500
Br1 Br 0.2500 0.2500 0.2500

***

# MgTlRh3 (PBE, optimized geometry)
# SG = Pm-3m (221)
# calculated volume = 18.9 Å³/atom
# ΔE_f = 0.83 eV per atom
# E above lowest polymorph = 0.0 kJ/mol of formula units
# uncorrected energy = -4.375 eV per atom
data_MgTlRh3
_chemical_formula_sum 'Mg1 Tl1 Rh3'
_cell_length_a 4.5576
_cell_length_b 4.5576
_cell_length_c 4.5576
_cell_angle_alpha 90.00
_cell_angle_beta 90.00
_cell_angle_gamma 90.00
_space_group_name_H-M_alt 'P 1'
_space_group_IT_number 1
loop_
_space_group_symop_operation_xyz
'x,y,z'
loop_
_atom_site_label
_atom_site_type_symbol
_atom_site_fract_x
_atom_site_fract_y
_atom_site_fract_z
Tl1 Tl 0.5000 0.5000 0.5000
Rh1 Rh 0.5000 0.0000 0.0000
Rh2 Rh 0.0000 0.0000 0.5000
Mg1 Mg 0.0000 0.0000 0.0000
Rh3 Rh 0.0000 0.5000 0.0000

***

# ZnCd2Cu (PBE, optimized geometry)
# SG = Cmmm (65)
# calculated volume = 17.6 Å³/atom
# ΔE_f = 0.09 eV per atom
# uncorrected energy = -1.707 eV per atom
data_ZnCd2Cu
_chemical_formula_sum 'Zn1 Cd2 Cu1'
_cell_length_a 4.8231
_cell_length_b 4.8231
_cell_length_c 3.1348
_cell_angle_alpha 90.00
_cell_angle_beta 90.00
_cell_angle_gamma 105.11
_space_group_name_H-M_alt 'P 1'
_space_group_IT_number 1
loop_
_space_group_symop_operation_xyz
'x,y,z'
loop_
_atom_site_label
_atom_site_type_symbol
_atom_site_fract_x
_atom_site_fract_y
_atom_site_fract_z
Zn1 Zn 0.0000 0.5000 0.5000
Cd1 Cd 0.5000 0.5000 0.0000
Cd2 Cd 0.0000 0.0000 0.0000
Cu1 Cu 0.5000 0.0000 0.5000

***

# Cd6In3Hg5 (PBE, optimized geometry)
# SG = Immm (71)
# calculated volume = 25.3 Å³/atom
# ΔE_f = 0.03 eV per atom
# uncorrected energy = -1.054 eV per atom
data_Cd6In3Hg5
_chemical_formula_sum 'Cd6 In3 Hg5'
_cell_length_a 4.9278
_cell_length_b 8.8536
_cell_length_c 8.8536
_cell_angle_alpha 80.11
_cell_angle_beta 73.84
_cell_angle_gamma 73.84
_space_group_name_H-M_alt 'P 1'
_space_group_IT_number 1
loop_
_space_group_symop_operation_xyz
'x,y,z'
loop_
_atom_site_label
_atom_site_type_symbol
_atom_site_fract_x
_atom_site_fract_y
_atom_site_fract_z
Cd1 Cd 0.8517 0.4327 0.8639
Hg1 Hg 0.6293 0.7392 0.0021
Cd2 Cd 0.5000 0.3545 0.6455
Hg2 Hg 0.6293 0.0021 0.7392
Hg3 Hg 0.3707 0.9979 0.2608
Hg4 Hg 0.0000 0.5000 0.5000
Cd3 Cd 0.1483 0.1361 0.5673
In1 In 0.2710 0.7290 0.7290
Cd4 Cd 0.5000 0.6455 0.3545
In2 In 0.0000 0.0000 0.0000
Hg5 Hg 0.3707 0.2608 0.9979
In3 In 0.7290 0.2710 0.2710
Cd5 Cd 0.1483 0.5673 0.1361
Cd6 Cd 0.8517 0.8639 0.4327

***

# ErScBiSb (PBE, optimized geometry)
# SG = Pm (6)
# calculated volume = 28.4 Å³/atom
# uncorrected formation energy = -0.8439 eV per atom
# uncorrected energy = -5.568 eV per atom
data_ErScBiSb
_chemical_formula_sum 'Er1 Sc1 Bi1 Sb1'
_cell_length_a 4.3223
_cell_length_b 4.3230
_cell_length_c 6.0878
_cell_angle_alpha 90.06
_cell_angle_beta 90.00
_cell_angle_gamma 90.00
_space_group_name_H-M_alt 'P 1'
_space_group_IT_number 1
loop_
_space_group_symop_operation_xyz
'x,y,z'
loop_
_atom_site_label
_atom_site_type_symbol
_atom_site_fract_x
_atom_site_fract_y
_atom_site_fract_z
Er1 Er 0.0000 0.8915 0.0918
Sb1 Sb 0.0000 0.8916 0.5920
Sc1 Sc 0.5000 0.3916 0.5930
Bi1 Bi 0.5000 0.3915 0.0930

***

# Ce5ZnRu6 (PBE, optimized geometry)
# SG = P-1 (2)
# calculated volume = 20.2 Å³/atom
# ΔE_f = -0.30 eV per atom
# E above lowest polymorph = 0.0 kJ/mol of formula units
# uncorrected energy = -7.520 eV per atom
data_Ce5ZnRu6
_chemical_formula_sum 'Ce5 Zn1 Ru6'
_cell_length_a 5.0244
_cell_length_b 7.0636
_cell_length_c 8.1324
_cell_angle_alpha 65.55
_cell_angle_beta 75.93
_cell_angle_gamma 99.74
_space_group_name_H-M_alt 'P 1'
_space_group_IT_number 1
loop_
_space_group_symop_operation_xyz
'x,y,z'
loop_
_atom_site_label
_atom_site_type_symbol
_atom_site_fract_x
_atom_site_fract_y
_atom_site_fract_z
Ce1 Ce 0.6393 0.1287 0.7188
Ru1 Ru 0.1089 0.3800 0.6627
Ce2 Ce 0.6697 0.6704 0.6413
Ce3 Ce 0.3303 0.3296 0.3587
Ru2 Ru 0.2148 0.9513 0.6589
Ru3 Ru 0.3735 0.3183 0.9788
Ru4 Ru 0.8911 0.6200 0.3373
Zn1 Zn 0.0000 0.0000 0.0000
Ru5 Ru 0.7852 0.0487 0.3411
Ce4 Ce 0.3607 0.8713 0.2812
Ce5 Ce 0.0000 0.5000 0.0000
Ru6 Ru 0.6265 0.6817 0.0212